No. 1
This record from Alexandria via LeMat-Bulk describes a geometry-optimized SrBiAsBr2 structure. The functional is GGA-PBE.

Output
SG	P4/mmm
distance to the lowest polymorph of the same formula	0	meV per atom
energy relative to the elements, uncorrected	-0.51	eV/atom

a b c (Å): 5.738 5.738 5.568
angles (deg): 90.00 90.00 90.00
Atoms (fractional coordinates):
1 Sr 0.500 0.500 0.500
2 As 0.000 0.000 0.500
3 Br 0.500 0.000 0.000
4 Bi 0.000 0.000 0.000
5 Br 0.000 0.500 0.000


No. 2
This record from Alexandria via LeMat-Bulk describes a geometry-optimized LiZn2SiO4 structure. The functional is GGA-PBE.

Output
SG	I-42m
energy relative to the elements, uncorrected	-1.84	eV/atom

a b c (Å): 4.601 4.601 5.523
angles (deg): 114.62 114.62 89.99
Atoms (fractional coordinates):
1 Zn 0.750 0.250 0.500
2 O 0.819 0.394 0.213
3 Zn 0.250 0.750 0.500
4 O 0.606 0.606 0.787
5 O 0.394 0.819 0.213
6 O 0.181 0.181 0.787
7 Li 0.000 0.000 0.000
8 Si 0.500 0.500 0.000


No. 3
This record from Alexandria via LeMat-Bulk describes a geometry-optimized AsRu2C structure. The functional is GGA-PBE.

Output
SG	Fm-3m
distance to the lowest polymorph of the same formula	541	meV per atom

a b c (Å): 4.107 4.107 4.107
angles (deg): 60.00 60.00 60.00
Atoms (fractional coordinates):
1 Ru 0.250 0.250 0.250
2 As 0.500 0.500 0.500
3 Ru 0.750 0.750 0.750
4 C 0.000 0.000 0.000


No. 4
This record from Alexandria via LeMat-Bulk describes a geometry-optimized ThInGa2Pd5 structure. The functional is GGA-PBE.

Output
SG	P4/mmm
final energy	-47.62	eV/cell

a b c (Å): 4.276 4.276 9.215
angles (deg): 90.00 90.00 90.00
Atoms (fractional coordinates):
1 Pd 0.000 0.500 0.277
2 Pd 0.500 0.000 0.723
3 Ga 0.500 0.500 0.131
4 Pd 0.000 0.500 0.723
5 Ga 0.500 0.500 0.869
6 Th 0.000 0.000 0.500
7 Pd 0.500 0.500 0.500
8 In 0.000 0.000 0.000
9 Pd 0.500 0.000 0.277


No. 5
This record from Alexandria via LeMat-Bulk describes a geometry-optimized SiTeI structure. The functional is GGA-PBE.

Output
SG	P2_1/c
distance to the lowest polymorph of the same formula	262	meV per atom
energy relative to the elements, uncorrected	0.10	eV/atom

a b c (Å): 6.080 7.568 9.436
angles (deg): 107.76 90.00 90.00
Atoms (fractional coordinates):
1 I 0.266 0.077 0.402
2 Si 0.398 0.743 0.054
3 Si 0.898 0.257 0.446
4 Te 0.499 0.494 0.783
5 Te 0.501 0.506 0.217
6 Si 0.102 0.743 0.554
7 I 0.234 0.077 0.902
8 I 0.766 0.923 0.098
9 I 0.734 0.923 0.598
10 Si 0.602 0.257 0.946
11 Te 0.001 0.494 0.283
12 Te 0.999 0.506 0.717


No. 6
This record from Alexandria via LeMat-Bulk describes a geometry-optimized HAuSe structure. The functional is GGA-PBE.

Output
SG	P1
distance to the lowest polymorph of the same formula	38	meV per atom

a b c (Å): 4.337 5.467 7.160
angles (deg): 89.97 89.94 66.94
Atoms (fractional coordinates):
1 Se 0.243 0.211 0.787
2 H 0.529 0.954 0.288
3 Au 0.040 0.542 0.037
4 Se 0.900 0.873 0.287
5 Au 0.040 0.542 0.537
6 H 0.961 0.119 0.788


No. 7
This record from Alexandria via LeMat-Bulk describes a geometry-optimized La2BeCuPt6 structure. The functional is GGA-PBE.

Output
SG	R-3m
final energy	-61.56	eV/cell

a b c (Å): 5.684 7.617 7.617
angles (deg): 43.82 68.09 90.00
Atoms (fractional coordinates):
1 Pt 0.773 0.740 0.968
2 Pt 0.260 0.740 0.968
3 La 0.713 0.287 0.575
4 La 0.287 0.713 0.425
5 Pt 0.260 0.228 0.480
6 Cu 0.000 0.000 0.000
7 Pt 0.227 0.260 0.032
8 Pt 0.740 0.772 0.520
9 Pt 0.740 0.260 0.032
10 Be 0.500 0.500 0.000


No. 8
This record from Alexandria via LeMat-Bulk describes a geometry-optimized K3Bi2Au4 structure. The functional is GGA-PBE.

Output
SG	C2/m
final energy	-27.01	eV/cell

a b c (Å): 5.099 6.665 9.449
angles (deg): 102.90 90.00 112.49
Atoms (fractional coordinates):
1 Au 0.076 0.153 0.630
2 Au 0.756 0.512 0.084
3 Bi 0.329 0.658 0.227
4 Au 0.924 0.847 0.370
5 K 0.000 0.000 0.000
6 K 0.631 0.262 0.376
7 K 0.369 0.738 0.624
8 Au 0.244 0.488 0.916
9 Bi 0.671 0.342 0.773


| no. | volume (Å³ per cell) |
| --- | --- |
| 1 | 183.28 |
| 2 | 94.47 |
| 3 | 48.97 |
| 4 | 168.51 |
| 5 | 413.46 |
| 6 | 156.22 |
| 7 | 192.36 |
| 8 | 287.88 |